Here is a relaxed structure of LaTl2HgSb from Alexandria. Energies are from PBE.

density of states at the Fermi level	4.2	states/eV/cell
ΔE_f (raw)	143	meV/atom
electronic total energy	-2.6738	eV per atom

abc: 5.5482 5.5482 5.6698
angles: 90.00 90.00 90.00
Space group P4/mmm (No. 123)
One atom of each set of equivalent atoms:
1 La 0.0000 0.0000 0.0000 [1 per cell]
2 Tl 0.0000 0.5000 0.5000 [2 per cell]
3 Hg 0.5000 0.5000 0.5000 [1 per cell]
4 Sb 0.5000 0.5000 0.0000 [1 per cell]



Here is a relaxed structure of NdHo6Tm8 from Alexandria. Energies are from PBE.

excess energy over the best structure of this formula in the dataset	0.0	meV/atom
density of states at the Fermi level	66.2	states/eV/cell
electronic total energy	-4.3960	eV per atom
formation energy	0.138	eV per atom

abc: 8.9415 8.9415 20.3631
angles: 90.00 90.00 120.00
Space group R-3 (No. 148, hexagonal axes)
One atom of each set of equivalent atoms:
1 Nd 0.0000 0.0000 0.0000 [3 per cell]
2 Ho 0.0656 0.2464 0.7080 [18 per cell]
3 Tm 0.0000 0.0000 0.4238 [6 per cell]
4 Tm 0.0809 0.5513 0.8090 [18 per cell]



Which value of electronic total energy does entry 1 give? -2.6738 eV per atom



electronic total energy of number 1 (LaTl2HgSb)? -2.6738 eV per atom



Look up the electronic total energy of the first one. -2.6738 eV per atom



Repeat the first record exactly.
Here is a relaxed structure of LaTl2HgSb from Alexandria. Energies are from PBE.

density of states at the Fermi level	4.2	states/eV/cell
ΔE_f (raw)	143	meV/atom
electronic total energy	-2.6738	eV per atom

abc: 5.5482 5.5482 5.6698
angles: 90.00 90.00 90.00
Space group P4/mmm (No. 123)
One atom of each set of equivalent atoms:
1 La 0.0000 0.0000 0.0000 [1 per cell]
2 Tl 0.0000 0.5000 0.5000 [2 per cell]
3 Hg 0.5000 0.5000 0.5000 [1 per cell]
4 Sb 0.5000 0.5000 0.0000 [1 per cell]